Entry 1:
A geometry-optimized RbCdIr2 structure. Source: Alexandria via LeMat-Bulk, functional PBE-GGA.

Unit cell a=4.877 b=4.877 c=10.370 alpha=76.40 beta=76.40 gamma=90.00
Last column: magnetic moment on the atom in μB.
Fractional positions:
Cd  0.750  0.250  0.500  0.00
Rb  0.250  0.750  0.500  0.00
Rb  0.500  0.500  0.000  0.00
Ir  0.875  0.125  0.750  0.07
Cd  0.000  0.000  0.000  0.00
Ir  0.875  0.625  0.250  0.12
Ir  0.875  0.125  0.250  0.12
Ir  0.375  0.125  0.750  0.07

- Energy of formation: 720 meV per atom
- Total magnetic moment: 0.4 μB/cell

Entry 2:
A geometry-optimized RbCd2Ir structure. Source: Alexandria via LeMat-Bulk, functional PBE-GGA.

Unit cell a=5.119 b=5.119 c=5.119 alpha=60.00 beta=60.00 gamma=60.00
Fractional positions:
Cd  0.250  0.250  0.250
Rb  0.000  0.000  0.000
Cd  0.750  0.750  0.750
Ir  0.500  0.500  0.500

- Polymorph energy (0 for the lowest one): 175 meV/atom
- Energy of formation: 573 meV per atom
- Total magnetic moment: 0.0 μB/cell

Entry 3:
A geometry-optimized RbCdIr3 structure. Source: Alexandria via LeMat-Bulk, functional PBE-GGA.

Unit cell a=5.076 b=5.076 c=5.076 alpha=90.00 beta=90.00 gamma=90.00
Last column: magnetic moment on the atom in μB.
Fractional positions:
Cd  0.000  0.000  0.000  0.00
Rb  0.500  0.500  0.500  -0.01
Ir  0.500  0.000  0.000  0.79
Ir  0.000  0.500  0.000  1.20
Ir  0.000  0.000  0.500  1.18

- Polymorph energy (0 for the lowest one): 0 meV/atom
- Energy of formation: 2000 meV per atom
- Total magnetic moment: 3.2 μB/cell

Entry 4:
A geometry-optimized RbCd2Ir2 structure. Source: Alexandria via LeMat-Bulk, functional PBE-GGA.

Unit cell a=8.513 b=8.513 c=2.907 alpha=90.00 beta=90.00 gamma=90.00
Fractional positions:
Cd  0.182  0.682  0.500
Rb  0.000  0.000  0.000
Cd  0.818  0.318  0.500
Rb  0.500  0.500  0.000
Ir  0.893  0.607  0.000
Cd  0.318  0.182  0.500
Ir  0.607  0.107  0.000
Cd  0.682  0.818  0.500
Ir  0.393  0.893  0.000
Ir  0.107  0.393  0.000

- Energy of formation: 377 meV per atom
- Total magnetic moment: 0.0 μB/cell

Entry 5:
A geometry-optimized Rb3CdIr structure. Source: Alexandria via LeMat-Bulk, functional PBE-GGA.

Unit cell a=6.394 b=6.394 c=6.394 alpha=90.00 beta=90.00 gamma=90.00
Fractional positions:
Rb  0.000  0.500  0.000
Rb  0.000  0.000  0.500
Rb  0.500  0.000  0.000
Cd  0.500  0.500  0.500
Ir  0.000  0.000  0.000

- Polymorph energy (0 for the lowest one): 0 meV/atom
- Energy of formation: 680 meV per atom
- Total magnetic moment: 0.0 μB/cell

Entry 6:
A geometry-optimized RbCd2SbIr structure. Source: Alexandria via LeMat-Bulk, functional PBE-GGA.

Unit cell a=5.374 b=5.374 c=5.121 alpha=90.00 beta=90.00 gamma=90.00
Fractional positions:
Cd  0.500  0.000  0.000
Rb  0.500  0.500  0.500
Cd  0.000  0.500  0.000
Ir  0.000  0.000  0.000
Sb  0.000  0.000  0.500

- Total magnetic moment: 0.0 μB/cell

Entry 7:
A geometry-optimized RbSrCd2Ir structure. Source: Alexandria via LeMat-Bulk, functional PBE-GGA.

Unit cell a=5.460 b=5.460 c=5.590 alpha=90.00 beta=90.00 gamma=90.00
Fractional positions:
Ir  0.000  0.000  0.000
Sr  0.000  0.000  0.500
Cd  0.000  0.500  0.000
Cd  0.500  0.000  0.000
Rb  0.500  0.500  0.500

- Energy of formation: -34 meV per atom
- Total magnetic moment: 0.0 μB/cell

Entry 8:
A geometry-optimized RbTlCd2Ir structure. Source: Alexandria via LeMat-Bulk, functional PBE-GGA.

Unit cell a=5.590 b=6.592 c=5.590 alpha=90.00 beta=90.00 gamma=90.00
Last column: magnetic moment on the atom in μB.
Fractional positions:
Cd  0.500  0.000  0.000  0.00
Ir  0.500  0.500  0.500  1.75
Cd  0.000  0.000  0.500  0.00
Tl  0.000  0.000  0.000  0.00
Rb  0.000  0.500  0.000  0.00

- Polymorph energy (0 for the lowest one): 1276 meV/atom
- Energy of formation: 1224 meV per atom
- Total magnetic moment: 1.9 μB/cell

Entry 9:
A geometry-optimized RbTlCd2Ir structure. Source: Alexandria via LeMat-Bulk, functional PBE-GGA.

Unit cell a=5.371 b=5.371 c=5.287 alpha=90.00 beta=90.00 gamma=90.00
Fractional positions:
Cd  0.500  0.000  0.000
Rb  0.500  0.500  0.500
Tl  0.000  0.000  0.500
Ir  0.000  0.000  0.000
Cd  0.000  0.500  0.000

- Polymorph energy (0 for the lowest one): 0 meV/atom
- Energy of formation: -52 meV per atom
- Total magnetic moment: 0.0 μB/cell

Entry 10:
A geometry-optimized RbZnCd2Ir structure. Source: Alexandria via LeMat-Bulk, functional PBE-GGA.

Unit cell a=5.322 b=5.322 c=4.952 alpha=90.00 beta=90.00 gamma=90.00
Fractional positions:
Cd  0.500  0.000  0.000
Cd  0.000  0.500  0.000
Rb  0.500  0.500  0.500
Ir  0.000  0.000  0.000
Zn  0.000  0.000  0.500

- Energy of formation: -23 meV per atom
- Total magnetic moment: 0.0 μB/cell

Entry 11:
A geometry-optimized RbZn2CdIr structure. Source: Alexandria via LeMat-Bulk, functional PBE-GGA.

Unit cell a=4.965 b=4.965 c=5.308 alpha=90.00 beta=90.00 gamma=90.00
Fractional positions:
Rb  0.500  0.500  0.500
Ir  0.000  0.000  0.000
Zn  0.000  0.500  0.000
Zn  0.500  0.000  0.000
Cd  0.000  0.000  0.500

- Energy of formation: -47 meV per atom
- Total magnetic moment: 0.0 μB/cell

Entry 12:
A geometry-optimized Cd2ReIr structure. Source: Alexandria via LeMat-Bulk, functional PBE-GGA.

Unit cell a=10.081 b=10.081 c=10.081 alpha=16.30 beta=16.30 gamma=16.30
Fractional positions:
Cd  0.243  0.243  0.243
Ir  0.493  0.493  0.493
Re  0.758  0.758  0.758
Cd  0.006  0.006  0.006

- Polymorph energy (0 for the lowest one): 74 meV/atom
- Energy of formation: 172 meV per atom
- Total magnetic moment: 0.0 μB/cell

Number 1: calculated total energy -4.1809 eV per atom. Number 2: calculated total energy -2.3417 eV per atom. Number 3: calculated total energy -3.6928 eV per atom. Number 4: calculated total energy -3.7269 eV per atom. Number 5: calculated total energy -1.8558 eV per atom. Number 6: calculated total energy -3.2229 eV per atom. Number 7: calculated total energy -2.7022 eV per atom. Number 8: calculated total energy -1.5812 eV per atom. Number 9: calculated total energy -2.8572 eV per atom. Number 10: calculated total energy -2.6098 eV per atom. Number 11: calculated total energy -2.7053 eV per atom. Number 12: calculated total energy -5.6130 eV per atom.